12
Lattice="3.8900 -2.5966 0.0000 3.8900 2.5966 0.0000 0.0000 0.0000 9.1506" Properties=species:S:1:pos:R:3 comment="GGA-PBE VRe2Mo3, relaxed" total_energy_ev_per_atom=-10.879 relative_energy_ev_per_atom=0.283 formation_energy_ev_per_atom=0.205 spacegroup="No. 63" pbc="T T T"
V 3.8900 1.3882 6.8630
V 3.8900 -1.3882 2.2877
Re 2.5415 1.1417 2.2877
Re 5.2384 1.1417 2.2877
Re 2.5415 -1.1417 6.8630
Re 5.2384 -1.1417 6.8630
Mo 1.2763 0.0000 0.0000
Mo 1.2763 0.0000 4.5753
Mo 3.8900 0.0000 0.0000
Mo 3.8900 0.0000 4.5753
Mo 6.5036 0.0000 0.0000
Mo 6.5036 0.0000 4.5753


8
Lattice="4.3344 0.0000 0.0000 0.0000 4.2223 3.0386 0.0000 -4.2223 3.0386" Properties=species:S:1:pos:R:3 comment="GGA-PBE V6ReMo, relaxed" total_energy_ev_per_atom=-9.901 relative_energy_ev_per_atom=0.000 formation_energy_ev_per_atom=-0.153 spacegroup="No. 38" pbc="T T T"
V 0.0000 0.0000 0.0000
V 0.0000 2.1354 4.5389
V 0.0000 -2.1354 4.5389
V 2.1672 -2.1288 3.0205
V 2.1672 0.0000 1.4934
V 2.1672 2.1288 3.0205
Re 0.0000 0.0000 3.0009
Mo 2.1672 0.0000 4.5586


14
Lattice="5.2702 0.0000 0.0000 2.6261 6.3591 0.0000 2.6275 -0.5615 6.3344" Properties=species:S:1:pos:R:3 comment="GGA-PBE V4ReMo2, relaxed" total_energy_ev_per_atom=-9.803 relative_energy_ev_per_atom=0.262 formation_energy_ev_per_atom=0.280 spacegroup="No. 1" pbc="T T T"
V 0.0000 0.0000 0.0000
V 2.6259 1.5291 4.4092
V 6.2125 5.4339 3.7529
V 3.7672 2.6075 0.5205
V 5.2609 4.9936 1.2495
V 5.2626 2.8954 3.1579
V 6.2192 2.4564 0.6565
V 9.0340 5.2862 3.8932
Re 4.4655 3.5847 5.4363
Re 7.1024 3.7381 5.3040
Mo 1.4116 0.6892 2.2719
Mo 5.0951 0.4817 5.3735
Mo 4.0462 0.8401 2.1338
Mo 7.7339 3.9468 2.2058


10
Lattice="2.1362 -7.2330 0.0000 2.1362 7.2330 0.0000 0.0000 0.0000 4.7120" Properties=species:S:1:pos:R:3 comment="GGA-PBE V3ReMo, relaxed" total_energy_ev_per_atom=-9.969 relative_energy_ev_per_atom=0.358 formation_energy_ev_per_atom=0.158 spacegroup="No. 63" pbc="T T T"
V 0.0000 0.0000 0.0000
V 0.0000 0.0000 2.3560
V 2.1362 3.7809 3.5340
V 2.1362 0.8036 3.5340
V 2.1362 -0.8036 1.1780
V 2.1362 -3.7809 1.1780
Re 2.1362 1.9770 1.1780
Re 2.1362 -1.9770 3.5340
Mo 2.1362 4.9345 1.1780
Mo 2.1362 -4.9345 3.5340